1.
A relaxed BaTeI2 crystal, computed with PBE.

Properties
DFT total energy (hartree per atom): -0.1065
Energy above the lowest structure with this stoichiometry (eV per atom): 0.000
Fermi-level density of states (states/eV/cell): 1.06
ΔE_f (raw) (eV/atom): -0.856
Total magnetic moment (μB/atom): 0.000

POSCAR file:
```
BaTeI2
1.0
-2.7915 2.7915 11.3169
2.7915 -2.7915 11.3169
2.7915 2.7915 -11.3169
Ba Te I
2 2 4
direct
0.0000 0.0000 0.0000
0.7500 0.2500 0.5000
0.2500 0.7500 0.5000
0.5000 0.5000 0.0000
0.1399 0.6250 0.0149
0.3750 0.3899 0.5149
0.6101 0.1250 0.9851
0.8750 0.8601 0.4851
```

---

2.
A relaxed BaTeI crystal, computed with PBE.

Properties
DFT total energy (hartree per atom): -0.1357
Energy above the lowest structure with this stoichiometry (eV per atom): 0.000
ΔE_f (raw) (eV/atom): -1.486
Total magnetic moment (μB/atom): 0.000

POSCAR file:
```
BaTeI
1.0
8.8771 -2.4598 0.0000
8.8771 2.4598 0.0000
-2.5341 0.0000 6.2675
Ba Te I
2 2 2
direct
0.1368 0.1368 0.1388
0.8632 0.8632 0.8612
0.4984 0.4984 0.2061
0.5016 0.5016 0.7939
0.2092 0.2092 0.7097
0.7908 0.7908 0.2903
```

---

3.
A relaxed Ba5Te4I crystal, computed with PBE.

Properties
DFT total energy (hartree per atom): -0.1502
Fermi-level density of states (states/eV/cell): 3.15
ΔE_f (raw) (eV/atom): -1.714
Total magnetic moment (μB/atom): 0.000

POSCAR file:
```
Ba5Te4I
1.0
-2.5009 3.5276 12.5030
2.5009 -3.5276 12.5030
2.5009 3.5276 -12.5030
Ba Te I
5 4 1
direct
0.0000 0.0000 0.0000
0.1990 0.1990 0.0000
0.3924 0.3924 0.0000
0.6076 0.6076 0.0000
0.8010 0.8010 0.0000
0.0979 0.5979 0.5000
0.2988 0.7988 0.5000
0.7012 0.2012 0.5000
0.9021 0.4021 0.5000
0.5000 0.0000 0.5000
```

---

4.
A relaxed Ba2TeI2 crystal, computed with PBE.

Properties
DFT total energy (hartree per atom): -0.1392
Fermi-level density of states (states/eV/cell): 0.00
ΔE_f (raw) (eV/atom): -1.769
Total magnetic moment (μB/atom): 0.000

POSCAR file:
```
Ba2TeI2
1.0
4.4141 -2.5459 0.0000
4.4141 2.5459 0.0000
-0.1325 0.0000 11.6085
Ba Te I
2 1 2
direct
0.1693 0.1693 0.1747
0.8307 0.8307 0.8253
0.5000 0.5000 0.0000
0.1615 0.1615 0.6675
0.8385 0.8385 0.3325
```

---

5.
A relaxed BaTiTe2I crystal, computed with PBE.

Properties
DFT total energy (hartree per atom): -0.1652
Energy above the lowest structure with this stoichiometry (eV per atom): 0.000
Fermi-level density of states (states/eV/cell): 2.56
ΔE_f (raw) (eV/atom): -0.965
Total magnetic moment (μB/atom): 0.202

POSCAR file:
```
BaTiTe2I
1.0
5.5010 0.0000 0.0000
0.0000 5.5010 0.0000
0.0000 0.0000 5.7205
Ba Ti Te I
1 1 2 1
direct
0.0000 0.0000 0.0000
0.5000 0.5000 0.5000
0.0000 0.5000 0.5000
0.5000 0.0000 0.5000
0.5000 0.5000 0.0000
```

---

6.
A relaxed BaTiTe2I crystal, computed with PBE.

Properties
DFT total energy (hartree per atom): -0.1156
Energy above the lowest structure with this stoichiometry (eV per atom): 1.351
Fermi-level density of states (states/eV/cell): 7.28
ΔE_f (raw) (eV/atom): 0.385
Total magnetic moment (μB/atom): 0.280

POSCAR file:
```
BaTiTe2I
1.0
6.4739 0.0000 0.0000
0.0000 6.4739 0.0000
0.0000 0.0000 6.4432
Ba Ti Te I
1 1 2 1
direct
0.0000 0.0000 0.0000
0.5000 0.5000 0.5000
0.0000 0.5000 0.0000
0.5000 0.0000 0.0000
0.0000 0.0000 0.5000
```